[1]
A plane-wave DFT calculation with PBE-GGA was carried out for a relaxed LaSbW2 crystal.

POSCAR file:
```
LaSbW2
1.0
5.324 0.000 0.000
0.000 3.307 -0.021
0.000 -0.131 5.491
W Sb La
2 1 1
Cartesian
0.000 3.185 0.400 W
0.000 1.710 2.314 W
2.662 2.382 4.102 Sb
2.662 0.794 1.367 La
```

Properties
The calculation puts the density at 10795 kg/m3. The value obtained for the final energy is -8.09 eV per atom. Its symmetry is P2/m. The uncorrected formation energy is 0.653 eV per atom.

***

[2]
A plane-wave DFT calculation with PBE-GGA was carried out for a relaxed Nb3Os crystal.

POSCAR file:
```
Nb3Os
1.0
-2.504 -4.018 2.086
4.311 -1.389 2.501
-1.382 2.948 4.020
Os Nb
2 6
Cartesian
0.000 0.000 0.000 Os
0.212 -1.229 4.303 Os
1.810 0.043 2.255 Nb
1.981 -3.050 2.918 Nb
-1.317 0.470 2.531 Nb
-2.569 -1.539 3.574 Nb
1.119 1.517 4.265 Nb
-0.174 -2.356 1.668 Nb
```

Properties
The calculation puts the density at 11248 kg/m3. The value obtained for the final energy is -10.62 eV per atom. Its symmetry is Pm-3n. The calculation puts the energy relative to the elements at -0.264 eV/atom.

***

[3]
A plane-wave DFT calculation with PBE-GGA was carried out for a relaxed LaPmTm2Bi4 crystal.

POSCAR file:
```
LaPmTm2Bi4
1.0
4.550 0.000 0.000
0.000 7.842 -0.144
0.000 2.770 7.369
Pm Bi La Tm
1 4 1 2
Cartesian
0.000 5.306 3.613 Pm
4.550 2.563 1.863 Bi
2.275 6.666 1.722 Bi
2.275 3.946 5.503 Bi
0.000 8.049 5.362 Bi
2.275 3.921 -0.072 La
0.000 2.770 7.369 Tm
2.275 1.385 3.685 Tm
```

Properties
The calculation puts the density at 9142 kg/m3. The value obtained for the final energy is -5.15 eV per atom. Its symmetry is P2/m. The calculation puts the energy relative to the elements at -0.885 eV/atom.

***

[4]
A plane-wave DFT calculation with PBE-GGA was carried out for a relaxed InRePb2 crystal.

POSCAR file:
```
InRePb2
1.0
5.468 -0.008 0.000
1.510 5.255 0.000
-3.489 -2.624 3.293
Pb In Re
2 1 1
Cartesian
0.000 0.000 0.000 Pb
2.734 -0.004 1.646 Pb
0.755 2.628 1.646 In
3.489 2.624 0.000 Re
```

Properties
The calculation puts the density at 12550 kg/m3. The value obtained for the final energy is -4.68 eV per atom. Its symmetry is I-4m2. The value obtained for the excess energy over the best structure of this formula in the dataset is 0.454 eV per atom. The calculation puts the energy relative to the elements at 0.970 eV/atom.